Computed, not measured: YReAs after structural relaxation at the GGA-PBE level of DFT.

```
YReAs
1.0
0.0000 3.2896 3.2896
3.2896 0.0000 3.2896
3.2896 3.2896 0.0000
As Re Y
1 1 1
Cartesian
1.6448 1.6448 1.6448
4.9344 4.9344 4.9344
0.0000 0.0000 0.0000
```

As for the calculated total energy: -20.5 eV/cell. The spin magnetization comes out at 0.2 μB per formula unit. The space group is F-43m, No. 216.

***

Computed, not measured: YReAs2 after structural relaxation at the GGA-PBE level of DFT.

```
YReAs2
1.0
-3.0129 -3.3946 1.3088
-4.6547 0.7945 -0.1298
-2.6755 -2.1606 -3.2384
As Re Y
2 1 1
Cartesian
0.0000 0.0000 0.0000
-7.7572 -3.5706 -1.5446
-5.1715 -2.3804 -1.0297
-2.5857 -1.1902 -0.5149
```

As for the calculated total energy: -27.1 eV/cell. The spin magnetization comes out at 0.0 μB per formula unit. The space group is F-43m, No. 216.

***

Computed, not measured: YRe2As2 after structural relaxation at the GGA-PBE level of DFT.

```
YRe2As2
1.0
-2.1489 2.1489 4.9934
2.1489 -2.1489 4.9934
2.1489 2.1489 -4.9934
As Re Y
2 2 1
Cartesian
0.0000 0.0000 3.6993
0.0000 0.0000 6.2875
0.0000 2.1489 2.4967
2.1489 0.0000 2.4967
0.0000 0.0000 0.0000
```

As for the calculated total energy: -41.7 eV/cell. The spin magnetization comes out at 0.0 μB per formula unit. The space group is I4/mmm, No. 139.

***

Computed, not measured: YReAs after structural relaxation at the GGA-PBE level of DFT.

```
YReAs
1.0
0.3313 -2.2014 3.8749
-2.8433 -3.3186 0.9347
1.4415 -4.2297 0.0507
As Re Y
1 1 1
Cartesian
0.0000 0.0000 0.0000
-0.2676 -2.4374 1.2151
-0.8028 -7.3123 3.6452
```

As for the calculated total energy: -23.1 eV/cell. The spin magnetization comes out at 1.3 μB per formula unit. The space group is F-43m, No. 216.

***

Computed, not measured: ZrRe2As after structural relaxation at the GGA-PBE level of DFT.

```
ZrRe2As
1.0
0.0000 3.2215 3.2215
3.2215 0.0000 3.2215
3.2215 3.2215 0.0000
As Re Zr
1 2 1
Cartesian
3.2215 3.2215 3.2215
0.0000 0.0000 0.0000
4.8323 4.8323 4.8323
1.6108 1.6108 1.6108
```

As for the calculated total energy: -36.9 eV/cell. The spin magnetization comes out at 0.2 μB per formula unit. The space group is F-43m, No. 216.

***

Computed, not measured: Zr2ReAs after structural relaxation at the GGA-PBE level of DFT.

```
Zr2ReAs
1.0
2.7539 3.0632 2.2063
-1.0360 1.3642 4.3475
2.6523 -1.4010 3.5829
As Re Zr
1 1 2
Cartesian
2.1851 1.5132 5.0683
1.0926 0.7566 2.5341
0.0000 0.0000 0.0000
3.2777 2.2698 7.6024
```

As for the calculated total energy: -34.1 eV/cell. The spin magnetization comes out at 0.4 μB per formula unit. The space group is F-43m, No. 216.

***

Computed, not measured: ZrReAs after structural relaxation at the GGA-PBE level of DFT.

```
ZrReAs
1.0
-1.9724 0.7471 3.8544
0.7348 3.7598 2.1515
-3.1773 3.0206 0.2929
As Re Zr
1 1 1
Cartesian
-1.1037 1.8819 1.5747
0.0000 0.0000 0.0000
-3.3112 5.6456 4.7241
```

As for the calculated total energy: -25.2 eV/cell. The spin magnetization comes out at 0.0 μB per formula unit. The space group is F-43m, No. 216.

***

Computed, not measured: Zr2As2SeS after structural relaxation at the GGA-PBE level of DFT.

```
Zr2As2SeS
1.0
3.6001 -5.4499 -2.7852
1.2318 -6.2858 3.0645
-4.5472 4.9387 -2.3136
As S Se Zr
2 1 1 2
Cartesian
0.9829 -6.4169 1.7301
0.5315 -6.6606 -0.7000
3.4398 -8.3545 0.1988
1.4095 -3.4234 0.0815
1.2819 -4.5192 -2.4479
-1.0123 -2.2411 0.4128
```

As for the calculated total energy: -40.9 eV/cell. The spin magnetization comes out at 0.0 μB per formula unit. The space group is Imm2, No. 44.

***

Computed, not measured: Sm3AsS2 after structural relaxation at the GGA-PBE level of DFT.

```
Sm3AsS2
1.0
4.0890 0.0000 0.0000
-2.0445 3.5412 0.0000
0.0000 0.0000 9.9352
As S Sm
1 2 3
Cartesian
0.0000 0.0000 0.0000
2.0445 1.1804 3.3611
0.0000 2.3608 6.5740
0.0000 2.3608 1.7052
0.0000 0.0000 4.9676
2.0445 1.1804 8.2300
```

As for the calculated total energy: -38.3 eV/cell. The spin magnetization comes out at 0.0 μB per formula unit. The space group is P-3m1, No. 164.

***

Computed, not measured: Sm3As2S after structural relaxation at the GGA-PBE level of DFT.

```
Sm3As2S
1.0
4.1579 0.0000 0.0000
-2.0790 3.6009 0.0000
0.0000 0.0000 10.1443
As S Sm
2 1 3
Cartesian
0.0000 2.4006 1.7405
2.0790 1.2003 8.4038
0.0000 0.0000 5.0721
0.0000 0.0000 0.0000
2.0790 1.2003 3.3971
0.0000 2.4006 6.7472
```

As for the calculated total energy: -37.9 eV/cell. The spin magnetization comes out at 0.0 μB per formula unit. The space group is P-3m1, No. 164.

***

Computed, not measured: Sm3As2S after structural relaxation at the GGA-PBE level of DFT.

```
Sm3As2S
1.0
-2.0793 2.9340 6.2130
2.0793 -2.9340 6.2130
2.0793 2.9340 -6.2130
As S Sm
2 1 3
Cartesian
0.0000 0.0000 2.0777
0.0000 0.0000 10.3484
0.0000 0.0000 6.2130
0.0000 2.9340 2.0611
2.0793 0.0000 0.0000
2.0793 0.0000 4.1519
```

As for the calculated total energy: -38.0 eV/cell. The spin magnetization comes out at 0.0 μB per formula unit. The space group is Immm, No. 71.

***

Computed, not measured: Tb3As2S after structural relaxation at the GGA-PBE level of DFT.

```
Tb3As2S
1.0
4.0823 0.0000 0.0000
-2.0411 3.5354 0.0000
0.0000 0.0000 9.9285
As S Tb
2 1 3
Cartesian
0.0000 2.3569 3.2616
2.0411 1.1784 6.6669
0.0000 0.0000 0.0000
2.0411 1.1784 1.6318
0.0000 0.0000 4.9642
0.0000 2.3569 8.2967
```

As for the calculated total energy: -37.7 eV/cell. The spin magnetization comes out at 0.0 μB per formula unit. The space group is P-3m1, No. 164.

***

Computed, not measured: Tb2AsS after structural relaxation at the GGA-PBE level of DFT.

```
Tb2AsS
1.0
-2.9015 -0.5838 -2.7496
2.8013 -0.2740 -2.8978
0.3280 -5.6322 0.8496
As S Tb
1 1 2
Cartesian
0.0000 0.0000 0.0000
0.1139 -3.2450 -2.3989
-0.0501 -0.4289 -2.8237
0.1640 -2.8161 0.4248
```

As for the calculated total energy: -25.3 eV/cell. The spin magnetization comes out at 0.0 μB per formula unit. The space group is P4/mmm, No. 123.

***

Computed, not measured: TbAsS4 after structural relaxation at the GGA-PBE level of DFT.

```
TbAsS4
1.0
6.6157 0.0000 0.0000
0.9734 6.6348 0.0000
0.2702 0.3775 7.2099
As S Tb
2 8 2
Cartesian
5.3479 4.9923 1.4470
2.5114 2.0200 5.7629
2.9123 1.8801 0.6515
6.8680 6.5917 1.6093
6.6433 3.2415 1.8143
3.6096 5.1883 2.6911
4.2498 1.8241 4.5188
1.2160 3.7708 5.3957
0.9913 0.4206 5.6007
4.9471 5.1322 6.5584
2.0612 4.7052 0.4566
5.7981 2.3071 6.7533
```

As for the calculated total energy: -61.8 eV/cell. The spin magnetization comes out at 0.0 μB per formula unit. The space group is P-1, No. 2.

***

Computed, not measured: Tb3AsS2 after structural relaxation at the GGA-PBE level of DFT.

```
Tb3AsS2
1.0
-2.4551 -3.1412 0.4095
2.3723 0.2831 -3.2179
7.0008 -4.8545 4.7342
As S Tb
1 2 3
Cartesian
0.0000 0.0000 0.0000
3.1296 -2.4993 -0.4085
3.7885 -5.2134 2.3344
0.3553 -2.8328 0.0128
3.5004 -2.4273 2.3671
6.5627 -4.8799 1.9131
```

As for the calculated total energy: -38.0 eV/cell. The spin magnetization comes out at 0.0 μB per formula unit. The space group is P-3m1, No. 164.

***

Number 1: calculated density 8164 kg/m3. Number 2: calculated density 9468 kg/m3. Number 3: calculated density 11003 kg/m3. Number 4: calculated density 9210 kg/m3. Number 5: calculated density 13374 kg/m3. Number 6: calculated density 10210 kg/m3. Number 7: calculated density 9755 kg/m3. Number 8: calculated density 6086 kg/m3. Number 9: calculated density 6812 kg/m3. Number 10: calculated density 6921 kg/m3. Number 11: calculated density 6933 kg/m3. Number 12: calculated density 7633 kg/m3. Number 13: calculated density 7577 kg/m3. Number 14: calculated density 3800 kg/m3. Number 15: calculated density 7543 kg/m3.